AlCrP2Pb after structural relaxation. Source: Alexandria, functional PBE.

Properties
* uncorrected energy: -4.575 eV per atom
* DFT formation energy: 484 kJ/mol of formula units

Cell lengths 4.6647, 4.7345, 4.6647 Å; angles 90.00, 90.00, 90.00 degrees
Last column: nearest neighbours and their distance in Å.
Sites, in units of the cell vectors:
P 0.0000 0.0000 0.5000  2 Al 2.33
P 0.5000 0.0000 0.0000  2 Al 2.33
Cr 0.0000 0.5000 0.0000  2 Al 2.37
Pb 0.5000 0.5000 0.5000  4 Cr 3.30, 8 P 3.32
Al 0.0000 0.0000 0.0000  4 P 2.33, 2 Cr 2.37



NaLaPd10 after structural relaxation. Source: Alexandria, functional PBE.

Properties
* uncorrected energy: -5.130 eV per atom
* DFT formation energy: -327 kJ/mol of formula units

Cell lengths 4.4865, 5.3754, 9.2361 Å; angles 90.00, 90.00, 90.00 degrees
Last column: nearest neighbours and their distance in Å.
Sites, in units of the cell vectors:
Pd 0.5000 0.2491 0.2493  8 Pd 2.67-2.73
Pd 0.5000 0.7509 0.2493  8 Pd 2.67-2.73
Pd 0.5000 0.7509 0.7507  8 Pd 2.67-2.73
Pd 0.5000 0.2491 0.7507  8 Pd 2.67-2.73
Pd 0.5000 0.5000 0.0000  8 Pd 2.67-2.73
Pd 0.0000 0.5000 0.8322  6 Pd 2.72-2.73
Pd 0.0000 0.0000 0.6664  6 Pd 2.72-2.73
Pd 0.5000 0.0000 0.5000  8 Pd 2.67-2.72
Pd 0.0000 0.0000 0.3336  6 Pd 2.72-2.73
Pd 0.0000 0.5000 0.1678  6 Pd 2.72-2.73
Na 0.0000 0.5000 0.5000  6 Pd 3.07-3.10
La 0.0000 0.0000 0.0000  6 Pd 3.08-3.10



Eu3Hg after structural relaxation. Source: Alexandria, functional PBE.

Properties
* energy relative to the lowest polymorph listed for this composition: 0.076 eV per atom
* uncorrected energy: -7.963 eV per atom
* DFT formation energy: -70 kJ/mol of formula units

Cell lengths 5.1275, 5.1326, 5.1262 Å; angles 90.00, 90.00, 90.00 degrees
Last column: nearest neighbours and their distance in Å.
Sites, in units of the cell vectors:
Hg 0.0000 0.0000 0.3339  12 Eu 3.62-3.63
Eu 0.5000 0.5000 0.3333  8 Eu 3.62-3.63, 4 Hg 3.63
Eu 0.0000 0.5000 0.8331  4 Hg 3.62-3.63, 8 Eu 3.62-3.63
Eu 0.5000 0.0000 0.8332  4 Hg 3.62-3.63, 8 Eu 3.63



Sm4DyHo6 after structural relaxation. Source: Alexandria, functional PBE.

Properties
* energy relative to the lowest polymorph listed for this composition: 0.148 eV per atom
* uncorrected energy: -4.181 eV per atom
* DFT formation energy: 478 kJ/mol of formula units

Cell lengths 7.6369, 7.6369, 8.4844 Å; angles 116.75, 116.75, 90.00 degrees
Last column: nearest neighbours and their distance in Å.
Sites, in units of the cell vectors:
Ho 0.9253 0.4427 0.3680  2 Sm 3.22-3.53, 1 Dy 3.55
Ho 0.5000 0.0000 0.0000  4 Sm 3.00
Ho 0.5573 0.5573 0.6320  2 Sm 3.22-3.53, 1 Dy 3.55
Ho 0.4427 0.9253 0.3680  2 Sm 3.22-3.53, 1 Dy 3.55
Ho 0.0000 0.5000 0.0000  4 Sm 3.00
Ho 0.0747 0.0747 0.6320  2 Sm 3.22-3.53, 1 Dy 3.55
Dy 0.5000 0.5000 0.0000  8 Ho 3.55-3.82, 4 Sm 3.67
Sm 0.0969 0.7505 0.8474  3 Ho 3.00-3.22, 2 Sm 3.31
Sm 0.9031 0.9031 0.1526  3 Ho 3.00-3.22, 2 Sm 3.31
Sm 0.7505 0.0969 0.8474  3 Ho 3.00-3.22, 2 Sm 3.31
Sm 0.2495 0.2495 0.1526  3 Ho 3.00-3.22, 2 Sm 3.31